No. 1
The following is a PBE calculation of Be2TlBr after structural relaxation, from Alexandria.

Results
symmetry = No. 44
VASP energy = -9.91 eV per cell
energy relative to the elements, uncorrected = 0.3958 eV/atom
polymorph energy (0 for the lowest one) = 66 meV/atom

Geometry as extended XYZ:
```
4
Lattice="7.889 0.011 -0.010 5.782 5.367 0.010 -6.450 -3.671 2.677" Properties=species:S:1:pos:R:3 pbc="T T T"
Be 11.282 4.438 0.000
Be 3.629 -0.685 1.334
Br 8.357 3.288 0.000
Tl 4.460 2.734 1.344
```

No. 2
The following is a PBE calculation of Dy2Tm3Ga4 after structural relaxation, from Alexandria.

Results
symmetry = No. 14
VASP energy = -79.96 eV per cell
polymorph energy (0 for the lowest one) = 0 meV/atom

Geometry as extended XYZ:
```
18
Lattice="7.358 0.082 0.000 -2.335 7.487 0.000 0.000 0.000 7.885" Properties=species:S:1:pos:R:3 pbc="T T T"
Tm 3.736 5.753 2.563
Tm 0.057 5.712 1.379
Tm -1.167 3.743 3.942
Tm 1.288 1.816 5.321
Tm 4.967 1.857 6.506
Tm 2.512 3.784 0.000
Ga -0.292 3.834 6.906
Ga -1.135 6.889 3.717
Ga 5.316 3.734 0.979
Ga 1.636 3.693 2.964
Ga 2.544 6.930 0.226
Ga 3.387 3.875 4.921
Ga 2.479 0.639 7.659
Ga 6.158 0.680 4.168
Dy 1.251 6.098 5.396
Dy 0.094 1.430 1.453
Dy 4.930 6.139 6.432
Dy 3.773 1.471 2.489
```

No. 3
The following is a PBE calculation of Pm2Al4Pd3Pt after structural relaxation, from Alexandria.

Results
symmetry = No. 115
VASP energy = -55.30 eV per cell

Geometry as extended XYZ:
```
10
Lattice="-2.390 -3.397 -1.318 1.344 0.643 -4.095 7.866 -6.161 1.614" Properties=species:S:1:pos:R:3 pbc="T T T"
Pt 3.410 -4.457 -1.900
Pm 0.787 -3.251 -0.252
Pm 6.556 -4.287 -0.841
Pd 3.933 -3.081 0.807
Pd 1.693 -0.478 -1.838
Pd 5.650 -7.060 0.745
Al 0.000 0.000 0.000
Al 3.725 -5.553 0.350
Al -0.523 -1.377 -2.706
Al 3.617 -1.986 -1.443
```

No. 4
The following is a PBE calculation of K3Pm2NpS6 after structural relaxation, from Alexandria.

Results
symmetry = No. 12
VASP energy = -70.81 eV per cell
energy relative to the elements, uncorrected = -1.6928 eV/atom

Geometry as extended XYZ:
```
12
Lattice="7.190 0.000 0.001 -3.594 6.227 0.001 -1.198 -2.075 7.381" Properties=species:S:1:pos:R:3 pbc="T T T"
Pm 0.009 4.147 0.001
Pm 3.587 2.080 0.001
S 2.412 4.177 1.521
S 3.581 2.101 5.870
S 0.030 4.152 5.870
S -0.014 -0.025 5.862
S 2.368 0.001 1.513
S -1.183 2.051 1.513
K 1.199 2.076 3.692
K -2.382 4.144 3.692
K 4.780 0.008 3.692
Np 0.000 0.000 0.000
```

No. 5
The following is a PBE calculation of Ge4Se7I after structural relaxation, from Alexandria.

Results
symmetry = No. 31
VASP energy = -91.32 eV per cell
energy relative to the elements, uncorrected = -0.1041 eV/atom

Geometry as extended XYZ:
```
24
Lattice="-2.493 2.106 -5.702 -6.177 -1.526 2.138 -1.520 14.684 6.088" Properties=species:S:1:pos:R:3 pbc="T T T"
Se -4.608 12.771 -0.706
Se -6.465 2.989 -3.524
Se -4.203 9.195 -2.286
Se -6.730 3.356 0.530
Se -3.414 2.125 -0.998
Se -4.136 5.922 0.326
Se -6.441 -0.248 -1.010
Se -4.573 13.317 3.642
Se -7.600 13.957 1.023
Se -7.502 10.814 3.622
Se -7.289 10.059 -0.159
Se -6.928 6.567 -1.606
Se -4.521 9.638 1.867
Se -3.860 5.545 -3.702
Ge -5.528 2.680 2.821
Ge -3.346 8.816 3.823
Ge -2.984 5.325 2.375
Ge -3.042 4.515 -1.374
Ge -6.274 9.886 5.808
Ge -6.949 13.236 3.246
Ge -3.816 11.994 1.727
Ge -5.790 2.043 -1.395
I -6.598 7.180 1.977
I -3.931 1.670 -5.009
```

No. 6
The following is a PBE calculation of Ac2SmS4 after structural relaxation, from Alexandria.

Results
symmetry = No. 63
VASP energy = -87.10 eV per cell
energy relative to the elements, uncorrected = -2.0149 eV/atom

Geometry as extended XYZ:
```
14
Lattice="4.029 0.000 0.000 -2.015 7.130 0.000 0.000 0.000 13.854" Properties=species:S:1:pos:R:3 pbc="T T T"
S 0.000 0.178 3.464
S 2.015 4.020 1.757
S 0.000 3.110 12.098
S 2.015 6.953 10.391
S 0.000 3.110 8.684
S 2.015 0.000 6.927
S 2.015 0.000 0.000
S 2.015 4.020 5.171
Sm 2.015 1.827 10.391
Sm 0.000 5.304 3.464
Ac 0.000 1.857 5.881
Ac 0.000 1.857 1.046
Ac 2.015 5.273 7.973
Ac 2.015 5.273 12.808
```

No. 7
The following is a PBE calculation of Sc2NbPt2 after structural relaxation, from Alexandria.

Results
symmetry = No. 127
VASP energy = -75.98 eV per cell
polymorph energy (0 for the lowest one) = 118 meV/atom

Geometry as extended XYZ:
```
10
Lattice="-3.020 -5.946 -4.271 2.702 -5.199 5.328 -2.511 0.212 1.481" Properties=species:S:1:pos:R:3 pbc="T T T"
Sc 1.238 -6.545 3.038
Sc 0.515 -2.709 1.262
Sc -1.557 -4.601 -1.981
Sc -0.833 -8.437 -0.205
Pt -0.945 -8.181 2.455
Pt -1.885 -2.752 0.082
Pt -2.876 -6.724 -1.029
Pt 0.046 -4.209 3.567
Nb -0.159 -5.573 0.529
Nb 0.000 0.000 0.000
```

No. 8
The following is a PBE calculation of In3TcNi after structural relaxation, from Alexandria.

Results
symmetry = No. 221
VASP energy = -20.92 eV per cell
polymorph energy (0 for the lowest one) = 0 meV/atom

Geometry as extended XYZ:
```
5
Lattice="-1.425 -2.721 -3.743 -0.443 -3.818 2.944 -4.606 1.209 0.875" Properties=species:S:1:pos:R:3 pbc="T T T"
In -0.221 -1.909 1.472
In -2.303 0.604 0.437
In -0.712 -1.360 -1.871
Ni 0.000 0.000 0.000
Tc -3.237 -2.665 0.038
```

No. 9
The following is a PBE calculation of TaHgP2 after structural relaxation, from Alexandria.

Results
symmetry = No. 139
VASP energy = -21.30 eV per cell

Geometry as extended XYZ:
```
4
Lattice="-4.128 1.829 -1.576 -2.949 -3.717 0.596 2.893 1.906 3.296" Properties=species:S:1:pos:R:3 pbc="T T T"
Ta -1.797 -1.378 1.701
P 0.000 0.000 0.000
P -3.539 -0.944 -0.490
Hg -2.387 1.395 0.615
```

No. 10
The following is a PBE calculation of Ho4S2N after structural relaxation, from Alexandria.

Results
symmetry = No. 166
VASP energy = -46.11 eV per cell
energy relative to the elements, uncorrected = -1.6029 eV/atom

Geometry as extended XYZ:
```
7
Lattice="3.614 0.000 0.525 1.769 3.152 0.525 -0.003 -0.002 12.721" Properties=species:S:1:pos:R:3 pbc="T T T"
S 2.229 1.305 10.056
S 3.151 1.845 3.715
Ho 3.774 2.209 12.129
Ho 0.691 0.405 7.942
Ho 4.689 2.745 5.830
Ho 1.607 0.941 1.643
N 0.000 0.000 0.000
```

No. 11
The following is a PBE calculation of LiSnHgRh after structural relaxation, from Alexandria.

Results
symmetry = No. 216
VASP energy = -14.79 eV per cell

Geometry as extended XYZ:
```
4
Lattice="-0.195 -0.074 4.632 -4.096 -0.358 2.142 -1.125 -3.917 2.211" Properties=species:S:1:pos:R:3 pbc="T T T"
Hg -4.062 -3.262 6.739
Li 0.000 0.000 0.000
Rh -2.708 -2.174 4.493
Sn -1.354 -1.087 2.246
```

Q: Which of these has the highest VASP energy?
A: Be2TlBr

Q: Which of these has the lowest VASP energy?
A: Ge4Se7I

Q: Which of these has the highest VASP energy?
A: Be2TlBr

Q: Which of these has the lowest VASP energy?
A: Ge4Se7I